# NaSc | the Alexandria database | PBE | optimized geometry
data_NaSc
_chemical_formula_sum 'Na8 Sc8'
_cell_length_a 10.2666
_cell_length_b 10.2666
_cell_length_c 10.2666
_cell_angle_alpha 90.00
_cell_angle_beta 90.00
_cell_angle_gamma 90.00
_symmetry_space_group_name_H-M 'I -4 3 m'
_symmetry_Int_Tables_number 217
_symmetry_space_group_name_Hall 'I -4 2 3'
loop_
_atom_site_label
_atom_site_type_symbol
_atom_site_fract_x
_atom_site_fract_y
_atom_site_fract_z
Na1 Na 0.2035 0.2035 0.2035
Sc1 Sc 0.1008 0.1008 0.8992
# ρ = 0.83 g/cm3
# Electronic total energy = -5.62 eV/f.u.
# Crystal system = cubic


# Na4Sc | the Alexandria database | PBE | optimized geometry
data_Na4Sc
_chemical_formula_sum 'Na4 Sc1'
_cell_length_a 6.3295
_cell_length_b 6.3295
_cell_length_c 6.3295
_cell_angle_alpha 90.00
_cell_angle_beta 90.00
_cell_angle_gamma 90.00
_symmetry_space_group_name_H-M 'P m -3 m'
_symmetry_Int_Tables_number 221
_symmetry_space_group_name_Hall '-P 4 2 3'
loop_
_atom_site_label
_atom_site_type_symbol
_atom_site_fract_x
_atom_site_fract_y
_atom_site_fract_z
Na1 Na 0.0000 0.0000 0.0000
Na2 Na 0.0000 0.5000 0.5000
Sc1 Sc 0.5000 0.5000 0.5000
# ρ = 0.90 g/cm3
# Electronic total energy = -7.94 eV/f.u.
# Crystal system = cubic


# NaSc | the Alexandria database | PBE | optimized geometry
data_NaSc
_chemical_formula_sum 'Na2 Sc2'
_cell_length_a 3.3090
_cell_length_b 5.3929
_cell_length_c 6.3093
_cell_angle_alpha 90.00
_cell_angle_beta 90.00
_cell_angle_gamma 90.00
_symmetry_space_group_name_H-M 'P m m n'
_symmetry_Int_Tables_number 59
loop_
_symmetry_equiv_pos_as_xyz
'x,y,z'
'-x,-y,-z'
'-x+1/2,-y+1/2,z'
'x+1/2,y+1/2,-z'
'x+1/2,-y,-z'
'-x+1/2,y,z'
'-x,y+1/2,-z'
'x,-y+1/2,z'
loop_
_atom_site_label
_atom_site_type_symbol
_atom_site_fract_x
_atom_site_fract_y
_atom_site_fract_z
Na1 Na 0.2500 0.2500 0.0784
Sc1 Sc 0.2500 0.7500 0.4433
# ρ = 2.00 g/cm3
# Electronic total energy = -6.94 eV/f.u.
# Crystal system = orthorhombic


# NaSc | the Alexandria database | PBE | optimized geometry
data_NaSc
_chemical_formula_sum 'Na2 Sc2'
_cell_length_a 5.4161
_cell_length_b 5.4161
_cell_length_c 6.1862
_cell_angle_alpha 90.00
_cell_angle_beta 90.00
_cell_angle_gamma 120.00
_symmetry_space_group_name_H-M 'P 63/m m c'
_symmetry_Int_Tables_number 194
_symmetry_space_group_name_Hall '-P 6c 2c'
loop_
_atom_site_label
_atom_site_type_symbol
_atom_site_fract_x
_atom_site_fract_y
_atom_site_fract_z
Na1 Na 0.3333 0.6667 0.2500
Sc1 Sc 0.3333 0.6667 0.7500
# ρ = 1.44 g/cm3
# Electronic total energy = -5.04 eV/f.u.
# Crystal system = hexagonal


# NaSc | the Alexandria database | PBE | optimized geometry
data_NaSc
_chemical_formula_sum 'Na4 Sc4'
_cell_length_a 6.1437
_cell_length_b 6.1437
_cell_length_c 6.1987
_cell_angle_alpha 90.00
_cell_angle_beta 90.00
_cell_angle_gamma 90.00
_symmetry_space_group_name_H-M 'P 42/m n m'
_symmetry_Int_Tables_number 136
_symmetry_space_group_name_Hall '-P 4n 2n'
loop_
_atom_site_label
_atom_site_type_symbol
_atom_site_fract_x
_atom_site_fract_y
_atom_site_fract_z
Na1 Na 0.1774 0.1774 0.0000
Sc1 Sc 0.1782 0.1782 0.5000
# ρ = 1.93 g/cm3
# Electronic total energy = -6.04 eV/f.u.
# Crystal system = tetragonal


# NaSc3Se | the Alexandria database | PBE | optimized geometry
data_NaSc3Se
_chemical_formula_sum 'Na1 Sc3 Se1'
_cell_length_a 5.1457
_cell_length_b 5.1457
_cell_length_c 5.1457
_cell_angle_alpha 90.00
_cell_angle_beta 90.00
_cell_angle_gamma 90.00
_symmetry_space_group_name_H-M 'P m -3 m'
_symmetry_Int_Tables_number 221
_symmetry_space_group_name_Hall '-P 4 2 3'
loop_
_atom_site_label
_atom_site_type_symbol
_atom_site_fract_x
_atom_site_fract_y
_atom_site_fract_z
Na1 Na 0.0000 0.0000 0.0000
Sc1 Sc 0.0000 0.5000 0.5000
Se1 Se 0.5000 0.5000 0.5000
# Formation energy (no corrections) = -1.1 eV/f.u.
# ρ = 2.89 g/cm3
# Electronic total energy = -24.90 eV/f.u.
# Crystal system = cubic


# NaSc4Se6 | the Alexandria database | PBE | optimized geometry
data_NaSc4Se6
_chemical_formula_sum 'Na4 Sc16 Se24'
_cell_length_a 3.8842
_cell_length_b 12.8694
_cell_length_c 20.3918
_cell_angle_alpha 90.00
_cell_angle_beta 90.00
_cell_angle_gamma 90.00
_symmetry_space_group_name_H-M 'C m c m'
_symmetry_Int_Tables_number 63
_symmetry_space_group_name_Hall '-C 2c 2'
loop_
_atom_site_label
_atom_site_type_symbol
_atom_site_fract_x
_atom_site_fract_y
_atom_site_fract_z
Na1 Na 0.0000 0.1584 0.2500
Sc1 Sc 0.0000 0.0930 0.6342
Sc2 Sc 0.0000 0.3656 0.5418
Se1 Se 0.0000 0.0000 0.0000
Se2 Se 0.0000 0.1703 0.7500
Se3 Se 0.0000 0.2740 0.0811
Se4 Se 0.0000 0.4563 0.6579
# Formation energy (no corrections) = -17.7 eV/f.u.
# ρ = 4.41 g/cm3
# Electronic total energy = -65.23 eV/f.u.
# Crystal system = orthorhombic


# Na2ScSe | the Alexandria database | PBE | optimized geometry
data_Na2ScSe
_chemical_formula_sum 'Na8 Sc4 Se4'
_cell_length_a 9.6535
_cell_length_b 9.6535
_cell_length_c 5.2172
_cell_angle_alpha 90.00
_cell_angle_beta 90.00
_cell_angle_gamma 90.00
_symmetry_space_group_name_H-M 'I -4 2 d'
_symmetry_Int_Tables_number 122
_symmetry_space_group_name_Hall 'I -4 2bw'
loop_
_atom_site_label
_atom_site_type_symbol
_atom_site_fract_x
_atom_site_fract_y
_atom_site_fract_z
Na1 Na 0.1589 0.2500 0.1250
Sc1 Sc 0.0000 0.0000 0.5000
Se1 Se 0.0000 0.0000 0.0000
# Formation energy (no corrections) = -1.4 eV/f.u.
# ρ = 2.32 g/cm3
# Electronic total energy = -13.83 eV/f.u.
# Crystal system = tetragonal


> The highest electronic total energy belongs to which entry?

number 4


Copy entry 1 word for word.
# NaSc | the Alexandria database | PBE | optimized geometry
data_NaSc
_chemical_formula_sum 'Na8 Sc8'
_cell_length_a 10.2666
_cell_length_b 10.2666
_cell_length_c 10.2666
_cell_angle_alpha 90.00
_cell_angle_beta 90.00
_cell_angle_gamma 90.00
_symmetry_space_group_name_H-M 'I -4 3 m'
_symmetry_Int_Tables_number 217
_symmetry_space_group_name_Hall 'I -4 2 3'
loop_
_atom_site_label
_atom_site_type_symbol
_atom_site_fract_x
_atom_site_fract_y
_atom_site_fract_z
Na1 Na 0.2035 0.2035 0.2035
Sc1 Sc 0.1008 0.1008 0.8992
# ρ = 0.83 g/cm3
# Electronic total energy = -5.62 eV/f.u.
# Crystal system = cubic


> Among the records above, which one has the highest electronic total energy?

number 4


Repeat the fifth record exactly.
# NaSc | the Alexandria database | PBE | optimized geometry
data_NaSc
_chemical_formula_sum 'Na4 Sc4'
_cell_length_a 6.1437
_cell_length_b 6.1437
_cell_length_c 6.1987
_cell_angle_alpha 90.00
_cell_angle_beta 90.00
_cell_angle_gamma 90.00
_symmetry_space_group_name_H-M 'P 42/m n m'
_symmetry_Int_Tables_number 136
_symmetry_space_group_name_Hall '-P 4n 2n'
loop_
_atom_site_label
_atom_site_type_symbol
_atom_site_fract_x
_atom_site_fract_y
_atom_site_fract_z
Na1 Na 0.1774 0.1774 0.0000
Sc1 Sc 0.1782 0.1782 0.5000
# ρ = 1.93 g/cm3
# Electronic total energy = -6.04 eV/f.u.
# Crystal system = tetragonal